No. 1
# Li3In5Hg12 (PBE, relaxed)
data_Li3In5Hg12
_chemical_formula_sum 'Li24 In40 Hg96'
_symmetry_space_group_name_H-M 'I a -3 d'
_symmetry_Int_Tables_number 230
_symmetry_space_group_name_Hall '-I 4bd 2c 3'
_cell_length_a 16.8088
_cell_length_b 16.8088
_cell_length_c 16.8088
_cell_angle_alpha 90.00
_cell_angle_beta 90.00
_cell_angle_gamma 90.00
loop_
_atom_site_label
_atom_site_fract_x
_atom_site_fract_y
_atom_site_fract_z
_atom_site_occupancy
Li1 0.0000 0.2500 0.1250 1
In1 0.0000 0.0000 0.0000 1
In2 0.0000 0.2500 0.3750 1
Hg1 0.0176 0.0910 0.6510 1
# - N(E_F) (states/eV/cell) = 99.87
# - size of the total moment (μB per formula unit) = 0.00
# - formation energy from the elements (eV/atom) = 0.05
# - calculated total energy (eV per cell) = -176.2


No. 2
# ThAsAu4 (PBE, relaxed)
data_ThAsAu4
_chemical_formula_sum 'Th4 As4 Au16'
_symmetry_space_group_name_H-M 'F -4 3 m'
_symmetry_Int_Tables_number 216
_symmetry_space_group_name_Hall 'F -4 2 3'
_cell_length_a 7.9547
_cell_length_b 7.9547
_cell_length_c 7.9547
_cell_angle_alpha 90.00
_cell_angle_beta 90.00
_cell_angle_gamma 90.00
loop_
_atom_site_label
_atom_site_fract_x
_atom_site_fract_y
_atom_site_fract_z
_atom_site_occupancy
Th1 0.0000 0.0000 0.0000 1
As1 0.2500 0.2500 0.7500 1
Au1 0.1249 0.1249 0.3751 1
# - N(E_F) (states/eV/cell) = 15.55
# - size of the total moment (μB per formula unit) = 0.00
# - formation energy from the elements (eV/atom) = -0.32
# - calculated total energy (eV per cell) = -108.4


No. 3
# Li2BiRh (PBE, relaxed)
data_Li2BiRh
_chemical_formula_sum 'Li8 Bi4 Rh4'
_symmetry_space_group_name_H-M 'I -4 2 d'
_symmetry_Int_Tables_number 122
_symmetry_space_group_name_Hall 'I -4 2bw'
_cell_length_a 3.9649
_cell_length_b 3.9649
_cell_length_c 19.3069
_cell_angle_alpha 90.00
_cell_angle_beta 90.00
_cell_angle_gamma 90.00
loop_
_atom_site_label
_atom_site_fract_x
_atom_site_fract_y
_atom_site_fract_z
_atom_site_occupancy
Li1 0.2241 0.2500 0.1250 1
Bi1 0.0000 0.0000 0.5000 1
Rh1 0.0000 0.0000 0.0000 1
# - N(E_F) (states/eV/cell) = 6.47
# - size of the total moment (μB per formula unit) = 0.00
# - formation energy from the elements (eV/atom) = -0.10
# - calculated total energy (eV per cell) = -61.9


No. 4
# Er4Tl2Zn (PBE, relaxed)
data_Er4Tl2Zn
_chemical_formula_sum 'Er12 Tl6 Zn3'
_symmetry_space_group_name_H-M 'R -3 m'
_symmetry_Int_Tables_number 166
_symmetry_space_group_name_Hall '-R 3 2"'
_cell_length_a 5.1633
_cell_length_b 5.1633
_cell_length_c 25.2339
_cell_angle_alpha 90.00
_cell_angle_beta 90.00
_cell_angle_gamma 120.00
loop_
_atom_site_label
_atom_site_fract_x
_atom_site_fract_y
_atom_site_fract_z
_atom_site_occupancy
Er1 0.0000 0.0000 0.1242 1
Er2 0.0000 0.0000 0.3749 1
Tl1 0.0000 0.0000 0.2478 1
Zn1 0.0000 0.0000 0.0000 1
# - N(E_F) (states/eV/cell) = 18.37
# - size of the total moment (μB per formula unit) = 0.00
# - formation energy from the elements (eV/atom) = -0.20
# - calculated total energy (eV per cell) = -77.0


No. 5
# Ba5PuS8 (PBE, relaxed)
data_Ba5PuS8
_chemical_formula_sum 'Ba10 Pu2 S16'
_symmetry_space_group_name_H-M 'I -4'
_symmetry_Int_Tables_number 82
_cell_length_a 9.2522
_cell_length_b 9.2522
_cell_length_c 9.1961
_cell_angle_alpha 90.00
_cell_angle_beta 90.00
_cell_angle_gamma 90.00
loop_
_symmetry_equiv_pos_as_xyz
'x,y,z'
'y,-x,-z'
'-x,-y,z'
'-y,x,-z'
'x+1/2,y+1/2,z+1/2'
'y+1/2,-x+1/2,-z+1/2'
'-x+1/2,-y+1/2,z+1/2'
'-y+1/2,x+1/2,-z+1/2'
loop_
_atom_site_label
_atom_site_fract_x
_atom_site_fract_y
_atom_site_fract_z
_atom_site_occupancy
Ba1 0.0000 0.0000 0.0000 1
Ba2 0.1205 0.7623 0.6317 1
Pu1 0.0000 0.5000 0.2500 1
S1 0.0569 0.6384 0.9743 1
S2 0.0801 0.8008 0.2859 1
# - N(E_F) (states/eV/cell) = 22.51
# - size of the total moment (μB per formula unit) = 6.06
# - energy relative to the elements, uncorrected (eV/atom) = -1.650
# - calculated total energy (eV per cell) = -160.1


No. 6
# MgNpGe2 (PBE, relaxed)
data_MgNpGe2
_chemical_formula_sum 'Mg1 Np1 Ge2'
_symmetry_space_group_name_H-M 'P 4/m m m'
_symmetry_Int_Tables_number 123
_symmetry_space_group_name_Hall '-P 4 2'
_cell_length_a 3.4852
_cell_length_b 3.4852
_cell_length_c 6.6172
_cell_angle_alpha 90.00
_cell_angle_beta 90.00
_cell_angle_gamma 90.00
loop_
_atom_site_label
_atom_site_fract_x
_atom_site_fract_y
_atom_site_fract_z
_atom_site_occupancy
Mg1 0.0000 0.0000 0.0000 1
Np1 0.0000 0.0000 0.5000 1
Ge1 0.5000 0.5000 0.2155 1
# - N(E_F) (states/eV/cell) = 5.55
# - size of the total moment (μB per formula unit) = 4.42
# - formation energy from the elements (eV/atom) = -0.08
# - calculated total energy (eV per cell) = -24.1


| no. | ρ (g/cm³) |
| --- | --- |
| 1 | 8.4 |
| 2 | 14.4 |
| 3 | 7.1 |
| 4 | 9.8 |
| 5 | 5.0 |
| 6 | 8.4 |